GaCuPt4 | PBE-GGA | optimized geometry

Cell and atoms, written as POSCAR:
```
GaCuPt4
1.0
11.566 0.000 0.000
0.000 2.816 0.000
-1.367 0.000 5.461
Ga Cu Pt
2 2 8
direct
0.000 0.000 0.000
0.500 0.500 0.000
0.000 0.000 0.500
0.500 0.500 0.500
0.157 0.500 0.329
0.157 0.500 0.829
0.343 0.000 0.171
0.343 0.000 0.671
0.657 0.000 0.329
0.657 0.000 0.829
0.843 0.500 0.171
0.843 0.500 0.671
```

Properties
- Energy of formation from the pure elements: -0.335 eV per atom
- Total magnetization: 0.0 μB/f.u.
- DOS at the Fermi energy: 0.433 states/eV/atom
- Final energy: -0.2039 hartree per atom
- Energy above the lowest structure with this stoichiometry: 0.000 eV per atom
- V: 177.87 Å³ per cell